Record 1
{"formula": "La3TbCe", "functional": "PBE", "state": "optimized geometry", "total_energy_ev_per_cell": -48.37, "total_magnetization_mub_per_cell": 0.144, "formation_energy_ev_per_atom": 0.2323, "lattice_angstrom": [[7.1577, 0.0000, -2.7693], [-0.4328, 6.5453, -1.1186], [-1.2182, 1.1985, 7.4854]], "species": ["La", "Tb", "Ce", "Tb", "La", "Ce", "La", "La", "La", "La"], "fractional_positions": [[0.1894, 0.2502, 0.3788], [0.3337, 0.7504, 0.6674], [0.0000, 0.5000, 0.0000], [0.6663, 0.2496, 0.3326], [0.8108, 0.7498, 0.1900], [0.0000, 0.0000, 0.0000], [0.8106, 0.7498, 0.6212], [0.6208, 0.2502, 0.8100], [0.3792, 0.7498, 0.1900], [0.1892, 0.2502, 0.8100]]}

---

Record 2
{"formula": "LaTbCe", "functional": "PBE", "state": "optimized geometry", "total_energy_ev_per_cell": -30.62, "total_magnetization_mub_per_cell": 0.458, "formation_energy_ev_per_atom": 0.0606, "lattice_angstrom": [[-1.3262, -4.7457, 3.7794], [-2.8591, -0.8151, -2.0310], [4.6851, -15.4772, 6.0030]], "species": ["La", "Tb", "Ce", "Ce", "La", "Tb"], "fractional_positions": [[0.3648, 0.0913, 0.8922], [0.8392, 0.6012, 0.9022], [0.7534, 0.7776, 0.5786], [0.2828, 0.2739, 0.5722], [0.6713, 0.9602, 0.2586], [0.1970, 0.4503, 0.2486]]}

---

Record 3
{"formula": "LaTbCe", "functional": "PBE", "state": "optimized geometry", "total_energy_ev_per_cell": -15.29, "total_magnetization_mub_per_cell": 0.000, "formation_energy_ev_per_atom": 0.0677, "lattice_angstrom": [[3.5655, 0.0000, 0.0000], [0.0000, 3.5655, 0.0000], [-1.7827, -1.7827, 7.5446]], "species": ["La", "Tb", "Ce"], "fractional_positions": [[0.3242, 0.3242, 0.6484], [0.0098, 0.0098, 0.0196], [0.6660, 0.6660, 0.3320]]}

---

Record 4
{"formula": "La2TbCe", "functional": "PBE", "state": "optimized geometry", "total_energy_ev_per_cell": -19.64, "total_magnetization_mub_per_cell": 3.239, "formation_energy_ev_per_atom": 0.1939, "lattice_angstrom": [[5.8150, 0.0000, 0.0000], [2.9075, 5.0360, 0.0000], [2.9075, 1.6787, 4.7480]], "species": ["La", "Ce", "La", "Tb"], "fractional_positions": [[0.7500, 0.7500, 0.7500], [0.0000, 0.0000, 0.0000], [0.2500, 0.2500, 0.2500], [0.5000, 0.5000, 0.5000]]}